(1)
The following is a DFT calculation (PBE-GGA) of a relaxed LiCaTeN2 crystal.

a = 4.6468 Å, b = 4.6468 Å, c = 6.3267 Å
α = 90.00°, β = 90.00°, γ = 90.00°
Each line ends with the local moment (μB).
Fractional coordinates of all 5 atoms:
Te (0.0000, 0.0000, 0.5000)  0.24
N (0.5000, 0.0000, 0.0000)  1.39
N (0.0000, 0.5000, 0.0000)  1.39
Li (0.5000, 0.5000, 0.5000)  0.00
Ca (0.0000, 0.0000, 0.0000)  0.03

SG = No. 123
Total magnetic moment = 4.76 μB/f.u.
Formation energy (no corrections) = 0.9389 eV per atom

=====

(2)
The following is a DFT calculation (PBE-GGA) of a relaxed TiSnC3 crystal.

a = 4.1193 Å, b = 4.1193 Å, c = 4.1193 Å
α = 90.00°, β = 90.00°, γ = 90.00°
Fractional coordinates of all 5 atoms:
Sn (0.5000, 0.5000, 0.5000)
C (0.0000, 0.0000, 0.5000)
C (0.5000, 0.0000, 0.0000)
C (0.0000, 0.5000, 0.0000)
Ti (0.0000, 0.0000, 0.0000)

SG = No. 221
Total magnetic moment = 0.00 μB/f.u.
ΔH_f (0 K) = 1.703 eV/atom

=====

(3)
The following is a DFT calculation (PBE-GGA) of a relaxed CaCdAs2Br crystal.

a = 5.0862 Å, b = 5.0862 Å, c = 5.8330 Å
α = 90.00°, β = 90.00°, γ = 90.00°
Each line ends with the local moment (μB).
Fractional coordinates of all 5 atoms:
Br (0.0000, 0.0000, 0.5000)  0.03
Cd (0.0000, 0.0000, 0.0000)  0.00
As (0.5000, 0.0000, 0.0000)  0.07
As (0.0000, 0.5000, 0.0000)  0.07
Ca (0.5000, 0.5000, 0.5000)  0.00

SG = No. 123
Total magnetic moment = 0.36 μB/f.u.
Formation energy (no corrections) = -0.0584 eV per atom

=====

(4)
The following is a DFT calculation (PBE-GGA) of a relaxed YAlRhO4 crystal.

a = 5.2298 Å, b = 5.2298 Å, c = 7.0277 Å
α = 90.00°, β = 90.00°, γ = 111.22°
Each line ends with the local moment (μB).
Fractional coordinates of all 14 atoms:
O (0.2388, 0.2527, 0.7500)  0.03
O (0.2371, 0.7629, 0.4633)  0.08
O (0.7612, 0.7473, 0.2500)  0.03
O (0.2527, 0.2388, 0.2500)  0.03
O (0.7629, 0.2371, 0.9633)  0.08
O (0.7473, 0.7612, 0.7500)  0.03
O (0.7629, 0.2371, 0.5367)  0.08
O (0.2371, 0.7629, 0.0367)  0.08
Al (0.1287, 0.8713, 0.2500)  0.00
Al (0.8713, 0.1287, 0.7500)  0.00
Rh (0.2096, 0.7904, 0.7500)  0.71
Rh (0.7904, 0.2096, 0.2500)  0.71
Y (0.5000, 0.5000, 0.0000)  0.00
Y (0.5000, 0.5000, 0.5000)  0.00

SG = No. 63
Total magnetic moment = 1.01 μB/f.u.
Formation energy (no corrections) = -2.1870 eV per atom

=====

> Which of these has the highest total magnetic moment?

LiCaTeN2